No. 1
8
Lattice="4.314 0.000 0.000 0.000 3.982 0.000 0.000 0.000 10.720" Properties=species:S:1:pos:R:3 comment="PBE-GGA Er4Ga3Ge, relaxed" spacegroup="Pmm2, No. 25" rho_g_cm3=8.58 crystal_system=orthorhombic energy_ev_per_atom=-4.70 pbc="T T T"
Er 2.157 1.991 3.862
Er 0.000 1.991 9.233
Er 0.000 0.000 1.489
Er 2.157 0.000 6.859
Ga 0.000 1.991 6.199
Ga 0.000 0.000 4.500
Ga 2.157 0.000 9.874
Ge 2.157 1.991 0.864

No. 2
20
Lattice="6.868 0.000 0.000 0.000 7.627 0.937 0.000 1.528 9.485" Properties=species:S:1:pos:R:3 comment="PBE-GGA PBrF3, relaxed" spacegroup="P2_1/c, No. 14" e_form_raw_kj_per_mol_fu=-849 rho_g_cm3=2.29 crystal_system=monoclinic pbc="T T T"
P 2.117 4.255 9.038
P 4.751 4.900 1.384
P 5.551 1.851 5.657
P 1.317 7.304 4.764
Br 5.786 6.906 5.849
Br 1.082 2.249 4.573
Br 2.352 6.827 9.784
Br 4.516 2.328 0.638
F 1.342 2.337 0.872
F 5.525 6.818 9.550
F 4.776 2.241 4.339
F 2.092 6.915 6.083
F 1.201 5.848 4.116
F 5.667 3.307 6.306
F 4.635 6.356 2.032
F 2.233 2.799 8.390
F 4.307 1.399 6.550
F 2.561 7.756 3.872
F 0.873 4.707 8.146
F 5.995 4.448 2.276

No. 3
4
Lattice="9.830 -0.030 -0.017 9.305 3.168 -0.017 9.305 1.526 2.777" Properties=species:S:1:pos:R:3 comment="PBE-GGA Mg2TaTe, relaxed" spacegroup="R-3m, No. 166" e_form_raw_kj_per_mol_fu=87 rho_g_cm3=6.76 crystal_system=trigonal pbc="T T T"
Mg 28.361 4.652 2.734
Mg 14.299 2.345 1.378
Ta 7.110 1.166 0.685
Te 21.330 3.499 2.056

No. 4
10
Lattice="-0.945 3.499 3.557 -0.680 -4.924 1.038 11.513 -0.782 3.827" Properties=species:S:1:pos:R:3 comment="PBE-GGA Pm2PuHg7, relaxed" spacegroup="P3m1, No. 156" rho_g_cm3=11.85 crystal_system=trigonal energy_ev_per_atom=-2.80 pbc="T T T"
Pm 2.950 0.433 3.983
Pm 6.688 -2.623 4.357
Pu 11.127 -0.756 3.699
Hg 3.873 -2.432 3.421
Hg 0.934 -2.232 2.444
Hg 2.734 -0.186 0.909
Hg 5.970 -0.406 1.985
Hg 8.107 0.082 5.697
Hg -0.180 0.645 2.942
Hg 9.529 -2.816 5.301

No. 5
10
Lattice="5.496 0.000 0.000 0.000 9.562 -0.755 0.000 -4.987 8.193" Properties=species:S:1:pos:R:3 comment="PBE-GGA Pm7Sm2Y, relaxed" spacegroup="Cmmm, No. 65" rho_g_cm3=5.69 crystal_system=orthorhombic energy_ev_per_atom=-4.28 pbc="T T T"
Pm 0.000 6.526 1.112
Pm 0.000 -1.951 6.326
Pm 2.748 -0.779 2.322
Pm 2.748 5.353 5.117
Pm 2.748 2.423 0.352
Pm 2.748 2.151 7.086
Pm 2.748 2.287 3.719
Sm 2.748 5.275 1.882
Sm 2.748 -0.700 5.556
Y 0.000 0.000 0.000

No. 6
14
Lattice="4.329 0.000 1.092 1.619 7.937 2.709 0.152 0.036 8.525" Properties=species:S:1:pos:R:3 comment="PBE-GGA Sr3Zn7Ga4, relaxed" spacegroup="C2/m, No. 12" rho_g_cm3=5.70 crystal_system=monoclinic energy_ev_per_atom=-2.14 pbc="T T T"
Sr 1.661 1.582 2.541
Sr 4.438 6.392 9.785
Sr 0.885 3.987 5.617
Zn 2.840 6.413 6.991
Zn 2.616 1.682 7.879
Zn 4.463 2.896 9.685
Zn 3.258 1.560 5.334
Zn 1.636 5.078 2.641
Zn 0.000 0.000 0.000
Zn 3.482 6.291 4.446
Ga 3.673 3.770 3.692
Ga 2.426 4.204 8.634
Ga 5.285 7.276 6.426
Ga 0.814 0.698 5.899

No. 7
12
Lattice="-1.389 -3.287 -1.536 6.017 -1.253 -2.760 1.893 -3.464 5.700" Properties=species:S:1:pos:R:3 comment="PBE-GGA PrZnNi4, relaxed" spacegroup="Pmma, No. 51" rho_g_cm3=8.07 crystal_system=orthorhombic energy_ev_per_atom=-4.97 pbc="T T T"
Pr 5.343 -3.415 2.476
Pr 2.567 -1.302 0.465
Zn 2.785 -2.883 3.649
Zn 5.125 -1.835 -0.709
Ni 0.947 -1.732 2.850
Ni 0.000 0.000 0.000
Ni 6.590 -5.463 0.817
Ni -0.069 -2.541 0.587
Ni 3.720 -2.718 -2.462
Ni 2.801 -5.287 3.866
Ni 4.476 -4.100 -0.187
Ni 2.045 -3.904 1.591

No. 8
19
Lattice="7.721 -0.146 -0.206 -2.056 7.444 -0.206 -2.056 -2.648 6.960" Properties=species:S:1:pos:R:3 comment="PBE-GGA HoCo6Sn12, relaxed" spacegroup="R-3m, No. 166" rho_g_cm3=8.29 crystal_system=trigonal energy_ev_per_atom=-4.95 pbc="T T T"
Ho 0.000 0.000 0.000
Co 4.221 1.224 1.724
Co 0.140 0.180 4.716
Co 0.140 4.393 1.724
Co 3.470 4.470 1.833
Co -0.611 3.426 4.824
Co 3.470 0.257 4.824
Sn 5.498 -0.542 3.274
Sn 4.127 2.729 3.844
Sn 1.621 2.088 5.681
Sn 1.989 -0.025 2.705
Sn 1.989 2.562 0.868
Sn -0.517 1.921 2.705
Sn -1.888 1.380 5.981
Sn 1.805 6.137 0.568
Sn -1.888 5.192 3.274
Sn 5.498 3.270 0.568
Sn 1.805 -1.487 5.981
Sn 1.621 4.675 3.844

No. 9
4
Lattice="6.484 -0.001 0.000 2.948 5.775 0.000 -4.716 -2.887 3.386" Properties=species:S:1:pos:R:3 comment="PBE-GGA K2PbAu, relaxed" spacegroup="I4/mmm, No. 139" rho_g_cm3=6.32 crystal_system=tetragonal energy_ev_per_atom=-2.36 pbc="T T T"
Au 3.242 0.000 1.693
K 0.000 0.000 0.000
K 4.716 2.887 0.000
Pb 1.474 2.887 1.693

No. 10
5
Lattice="-0.962 -3.297 -2.671 -0.332 -2.672 3.417 -6.234 1.413 0.500" Properties=species:S:1:pos:R:3 comment="PBE-GGA LaTaIN2, relaxed" spacegroup="P4/mmm, No. 123" e_form_raw_kj_per_mol_fu=675 rho_g_cm3=6.50 crystal_system=tetragonal pbc="T T T"
I -3.117 0.707 0.250
N -0.166 -1.336 1.709
N -0.481 -1.648 -1.335
La 0.000 0.000 0.000
Ta -3.764 -2.278 0.623

No. 11
8
Lattice="11.018 0.000 0.000 0.000 11.018 0.000 5.509 5.509 2.188" Properties=species:S:1:pos:R:3 comment="PBE-GGA Rb2SeO, relaxed" spacegroup="I-42d, No. 122" e_form_raw_kj_per_mol_fu=-305 rho_g_cm3=3.32 crystal_system=tetragonal pbc="T T T"
O 5.509 5.509 0.000
O 5.509 11.018 1.094
Se 0.000 0.000 0.000
Se 11.018 5.509 1.094
Rb 6.042 2.755 0.547
Rb 4.976 8.264 0.547
Rb 8.264 10.486 1.641
Rb 13.773 11.551 1.641

No. 12
4
Lattice="0.000 4.005 4.005 4.005 0.000 4.005 4.005 4.005 0.000" Properties=species:S:1:pos:R:3 comment="PBE-GGA Ba2HfTi, relaxed" spacegroup="Fm-3m, No. 225" rho_g_cm3=6.48 crystal_system=cubic energy_ev_per_atom=-4.37 pbc="T T T"
Hf 4.005 4.005 4.005
Ba 2.002 2.002 2.002
Ba 6.007 6.007 6.007
Ti 0.000 0.000 0.000

No. 13
5
Lattice="-2.177 -2.370 1.115 0.487 -1.791 -2.856 5.059 -5.902 2.533" Properties=species:S:1:pos:R:3 comment="PBE-GGA Sc2Ga2B, relaxed" spacegroup="I4/mmm, No. 139" rho_g_cm3=4.40 crystal_system=tetragonal energy_ev_per_atom=-4.91 pbc="T T T"
Sc 0.215 -2.767 -0.259
Sc 3.154 -7.296 1.051
B 0.000 0.000 0.000
Ga 1.019 -5.176 1.389
Ga 2.351 -4.887 -0.597

No. 14
4
Lattice="4.773 -0.015 0.000 1.472 4.541 0.000 -3.123 -2.263 2.813" Properties=species:S:1:pos:R:3 comment="PBE-GGA ZnCoAg2, relaxed" spacegroup="I4/mmm, No. 139" rho_g_cm3=9.25 crystal_system=tetragonal energy_ev_per_atom=-3.27 pbc="T T T"
Ag 0.000 0.000 0.000
Ag 3.123 2.263 0.000
Co 0.736 2.270 1.407
Zn 2.387 -0.008 1.407

No. 15
12
Lattice="3.463 0.000 0.003 0.000 3.420 0.000 -3.109 0.000 21.395" Properties=species:S:1:pos:R:3 comment="PBE-GGA KTaH, relaxed" spacegroup="Cm, No. 8" rho_g_cm3=5.79 crystal_system=monoclinic energy_ev_per_atom=-5.06 pbc="T T T"
K -1.650 0.000 17.585
K -0.096 1.710 6.887
K -1.645 0.000 20.938
K -0.090 1.710 10.241
Ta -1.687 0.000 13.353
Ta -0.133 1.710 2.655
Ta 1.637 0.000 3.854
Ta 0.082 1.710 14.552
H 2.326 0.000 2.085
H 0.772 1.710 12.782
H 1.638 0.000 8.564
H 0.084 1.710 19.262

No. 16
18
Lattice="9.013 0.106 0.075 4.543 7.785 0.075 4.543 2.644 7.323" Properties=species:S:1:pos:R:3 comment="PBE-GGA La2YCd12Ag3, relaxed" spacegroup="R-3m, No. 166" rho_g_cm3=6.68 crystal_system=trigonal energy_ev_per_atom=-1.90 pbc="T T T"
La 10.577 6.157 4.367
La 7.522 4.378 3.105
Y 0.000 0.000 0.000
Cd 7.036 4.096 6.185
Cd 13.295 7.739 3.505
Cd 11.667 8.663 6.145
Cd 9.727 2.567 1.821
Cd 13.295 5.867 6.145
Cd 7.036 7.191 1.821
Cd 11.063 6.440 1.288
Cd 4.804 2.796 3.967
Cd 6.432 1.872 1.328
Cd 8.371 7.968 5.652
Cd 4.804 4.668 1.328
Cd 11.063 3.344 5.652
Ag 4.507 0.053 0.037
Ag 2.271 3.893 0.037
Ag 2.271 1.322 3.661

No. 17
18
Lattice="9.273 0.000 0.000 4.637 8.031 0.000 0.000 0.000 7.247" Properties=species:S:1:pos:R:3 comment="PBE-GGA La5Ag4, relaxed" spacegroup="P6_3/mcm, No. 193" rho_g_cm3=6.93 crystal_system=hexagonal energy_ev_per_atom=-4.15 pbc="T T T"
Ag 0.000 0.000 0.000
Ag 0.000 0.000 3.623
Ag 7.482 3.103 1.812
Ag 2.845 4.928 1.812
Ag 3.583 0.000 1.812
Ag 6.428 4.928 5.435
Ag 1.791 3.103 5.435
Ag 5.690 0.000 5.435
La 5.915 5.817 1.812
La 1.278 2.214 1.812
La 6.716 0.000 1.812
La 7.995 2.214 5.435
La 3.358 5.817 5.435
La 2.557 0.000 5.435
La 4.637 2.677 0.000
La 9.273 5.354 3.623
La 9.273 5.354 0.000
La 4.637 2.677 3.623

No. 18
14
Lattice="-3.396 -4.335 -1.751 2.348 -3.433 4.012 -2.328 5.052 1.529" Properties=species:S:1:pos:R:3 comment="PBE-GGA TiNb2H4, relaxed" spacegroup="C2/c, No. 15" rho_g_cm3=5.81 crystal_system=monoclinic energy_ev_per_atom=-6.13 pbc="T T T"
Ti -0.259 -1.134 3.328
Ti -3.389 -4.334 -1.744
Nb -2.988 -0.208 1.556
Nb -0.650 -4.451 2.798
Nb -1.824 -2.734 0.792
Nb -1.290 1.960 2.432
H -3.244 -2.872 -0.577
H -0.404 -2.596 2.161
H -3.248 -2.115 2.017
H -4.339 -0.505 0.144
H -1.660 -0.842 0.235
H -2.727 1.699 1.096
H -1.636 0.089 2.969
H -1.988 -4.626 1.350

No. 19
4
Lattice="2.627 0.001 0.000 -0.888 2.472 0.000 0.000 0.000 8.381" Properties=species:S:1:pos:R:3 comment="PBE-GGA Cr2TcMo, relaxed" spacegroup="Cmmm, No. 65" rho_g_cm3=9.09 crystal_system=orthorhombic energy_ev_per_atom=-10.00 pbc="T T T"
Cr 0.000 0.000 8.355
Cr 0.000 0.000 4.217
Mo 0.869 1.236 2.095
Tc 0.869 1.236 6.286

No. 20
12
Lattice="1.356 -2.348 0.000 1.356 2.348 0.000 0.000 0.000 15.119" Properties=species:S:1:pos:R:3 comment="PBE-GGA B2C, relaxed" spacegroup="P3m1, No. 156" rho_g_cm3=2.32 crystal_system=trigonal energy_ev_per_atom=-7.14 pbc="T T T"
B 1.356 0.783 12.173
B 1.356 -0.783 9.580
B 0.000 0.000 10.479
B 0.000 0.000 5.036
B 1.356 0.783 6.028
B 1.356 -0.783 7.795
B 1.356 -0.783 2.865
B 1.356 0.783 1.045
C 0.000 0.000 12.055
C 1.356 0.783 7.606
C 0.000 0.000 3.518
C 1.356 -0.783 1.195